Here is FeTc2Os at its PBEsol-relaxed geometry from the Alexandria database. Energies are from SCAN.

Values from the calculation:
The size of the total moment is 2.721 μB per formula unit. As for the energy above the lowest structure with this stoichiometry: 215 meV per atom. The electronic total energy is -317.9 eV per cell.

Unit cell a=2.8531 b=4.3731 c=8.7019 alpha=90.00 beta=90.00 gamma=90.00
With the nearest neighbours (Å) after each atom.
Sites, in units of the cell vectors:
Fe: 0.0000 0.0000 0.0000  4 Tc 2.53, 4 Fe 2.61
Fe: 0.5000 0.5000 0.0000  4 Tc 2.53, 4 Fe 2.61
Tc: 0.0000 0.5000 0.2407  2 Fe 2.53, 4 Tc 2.61, 2 Os 2.67
Tc: 0.0000 0.5000 0.7593  2 Fe 2.53, 4 Tc 2.61, 2 Os 2.67
Tc: 0.5000 0.0000 0.2407  2 Fe 2.53, 4 Tc 2.61, 2 Os 2.67
Tc: 0.5000 0.0000 0.7593  2 Fe 2.53, 4 Tc 2.61, 2 Os 2.67
Os: 0.0000 0.0000 0.5000  6 Os 2.61-2.85, 4 Tc 2.67
Os: 0.5000 0.5000 0.5000  6 Os 2.61-2.85, 4 Tc 2.67

Here is ZrBP2Pd at its PBEsol-relaxed geometry from the Alexandria database. Energies are from SCAN.

Values from the calculation:
The size of the total moment is 0.000 μB per formula unit. The electronic total energy is -84.4 eV per cell.

Unit cell a=4.8984 b=4.8984 c=4.9400 alpha=90.00 beta=90.00 gamma=90.00
With the nearest neighbours (Å) after each atom.
Sites, in units of the cell vectors:
Zr: 0.0000 0.0000 0.0000  4 P 2.45, 2 Pd 2.47
B: 0.5000 0.5000 0.5000  4 Pd 3.46, 8 P 3.48
P: 0.0000 0.5000 0.0000  2 Zr 2.45
P: 0.5000 0.0000 0.0000  2 Zr 2.45
Pd: 0.0000 0.0000 0.5000  2 Zr 2.47

Here is BiPbNCl2 at its PBEsol-relaxed geometry from the Alexandria database. Energies are from SCAN.

Values from the calculation:
The size of the total moment is 0.138 μB per formula unit. The electronic total energy is -177.0 eV per cell. The formation energy (no corrections) is 2.563 eV/f.u.

Unit cell a=4.6367 b=4.6367 c=4.8487 alpha=90.00 beta=90.00 gamma=90.00
With the nearest neighbours (Å) after each atom.
Sites, in units of the cell vectors:
Bi: 0.0000 0.0000 0.0000  2 N 2.42
Pb: 0.5000 0.5000 0.0000  4 Bi 3.28, 8 Cl 3.35
N: 0.0000 0.0000 0.5000  4 Cl 2.32, 2 Bi 2.42
Cl: 0.0000 0.5000 0.5000  2 N 2.32
Cl: 0.5000 0.0000 0.5000  2 N 2.32

Here is KAlTc2 at its PBEsol-relaxed geometry from the Alexandria database. Energies are from SCAN.

Values from the calculation:
The size of the total moment is 0.000 μB per formula unit. The electronic total energy is -80.7 eV per cell.

Unit cell a=3.8552 b=3.8552 c=4.5931 alpha=90.00 beta=90.00 gamma=90.00
With the nearest neighbours (Å) after each atom.
Sites, in units of the cell vectors:
K: 0.0000 0.0000 0.0000  4 Al 2.73, 8 Tc 3.00
Al: 0.5000 0.5000 0.0000  4 K 2.73, 8 Tc 3.00
Tc: 0.0000 0.5000 0.5000  4 Tc 2.73, 4 K 3.00, 4 Al 3.00
Tc: 0.5000 0.0000 0.5000  4 Tc 2.73, 4 K 3.00, 4 Al 3.00